(1)
The following is a DFT calculation (PBE) of a geometry-optimized Tm2UTl3Te6 structure.

```
Tm2UTl3Te6
1.0
-5.468 2.609 -4.703
-1.610 -5.550 5.042
0.269 6.657 5.467
Tm U Tl Te
2 1 3 6
Direct
0.333 0.667 0.000
0.667 0.333 0.000
0.000 0.000 0.000
0.164 0.836 0.500
0.836 0.164 0.500
0.500 0.500 0.500
0.929 0.588 0.787
0.730 0.730 0.212
0.071 0.412 0.213
0.588 0.929 0.787
0.270 0.270 0.788
0.412 0.071 0.213
```

Summary:
- Formation energy without anion corrections: -846 meV/atom
- Total magnetization: 3.02 μB per cell
- Density of states at the Fermi level: 3.9 states/eV/cell

***

(2)
The following is a DFT calculation (PBE) of a geometry-optimized Y2TmTl3Te6 structure.

```
Y2TmTl3Te6
1.0
-4.048 -3.936 5.222
0.218 -2.401 -7.303
7.871 -2.427 2.383
Y Tm Tl Te
2 1 3 6
Direct
0.334 0.666 0.000
0.666 0.334 0.000
0.000 0.000 0.000
0.168 0.832 0.500
0.832 0.168 0.500
0.500 0.500 0.500
0.929 0.599 0.788
0.741 0.741 0.213
0.071 0.401 0.212
0.599 0.929 0.788
0.259 0.259 0.787
0.401 0.071 0.212
```

Summary:
- Formation energy without anion corrections: -1055 meV/atom
- Total magnetization: 0.00 μB per cell

***

(3)
The following is a DFT calculation (PBE) of a geometry-optimized UTlTe3 structure.

```
UTlTe3
1.0
5.864 0.000 -0.244
0.000 5.943 0.000
-0.890 0.000 11.427
U Tl Te
2 2 6
Direct
0.459 0.750 0.349
0.541 0.250 0.651
0.008 0.250 0.157
0.992 0.750 0.843
0.633 0.250 0.901
0.367 0.750 0.099
0.960 0.750 0.353
0.040 0.250 0.647
0.495 0.250 0.379
0.505 0.750 0.621
```

Summary:
- Energy above the most stable polymorph in this dataset: 0.017 eV per atom
- Formation energy without anion corrections: -365 meV/atom
- Total magnetization: 2.05 μB per cell
- Density of states at the Fermi level: 11.0 states/eV/cell